No. 1
Ac3SiH: optimized geometry, PBE.

CIF file:
```
data_Ac3SiH
_cell_length_a 5.196
_cell_length_b 5.196
_cell_length_c 5.196
_cell_angle_alpha 90.00
_cell_angle_beta 90.00
_cell_angle_gamma 90.00
_symmetry_space_group_name_H-M 'P m -3 m'
_symmetry_Int_Tables_number 221
_symmetry_space_group_name_Hall '-P 4 2 3'
loop_
_atom_site_label
_atom_site_fract_x
_atom_site_fract_y
_atom_site_fract_z
Ac1 0.000 0.000 0.500
Si1 0.500 0.500 0.500
H1 0.000 0.000 0.000
```

Summary:
The crystal system is cubic. The value obtained for the energy above the most stable polymorph in this dataset is 0.152 eV per atom. The calculation puts the density of states at the Fermi level at 4.8 states/eV/f.u. As for the magnetic moment: 0.0 μB/f.u. As for the mass density: 8.405 g/cm3.


No. 2
HfCu2P2: optimized geometry, PBE.

CIF file:
```
data_HfCu2P2
_cell_length_a 3.8005
_cell_length_b 3.8005
_cell_length_c 6.1566
_cell_angle_alpha 90.00
_cell_angle_beta 90.00
_cell_angle_gamma 120.00
_symmetry_space_group_name_H-M 'P -3 m 1'
_symmetry_Int_Tables_number 164
_symmetry_space_group_name_Hall '-P 3 2"'
loop_
_atom_site_label
_atom_site_fract_x
_atom_site_fract_y
_atom_site_fract_z
Hf1 0.0000 0.0000 0.0000
Cu1 0.3333 0.6667 0.6380
P1 0.3333 0.6667 0.2465
```

Summary:
The crystal system is trigonal. The calculation puts the density of states at the Fermi level at 0.7 states/eV/f.u. As for the magnetic moment: 0.0 μB/f.u. The formation energy is -618.2 meV per atom. As for the mass density: 7.925 g/cm3.


No. 3
ScPtSe2: optimized geometry, PBE.

CIF file:
```
data_ScPtSe2
_cell_length_a 3.352
_cell_length_b 3.352
_cell_length_c 6.588
_cell_angle_alpha 90.00
_cell_angle_beta 90.00
_cell_angle_gamma 90.00
_symmetry_space_group_name_H-M 'P 4/m m m'
_symmetry_Int_Tables_number 123
_symmetry_space_group_name_Hall '-P 4 2'
loop_
_atom_site_label
_atom_site_fract_x
_atom_site_fract_y
_atom_site_fract_z
Sc1 0.000 0.000 0.000
Pt1 0.000 0.000 0.500
Se1 0.500 0.500 0.238
```

Summary:
The crystal system is tetragonal. The value obtained for the energy above the most stable polymorph in this dataset is 0.506 eV per atom. The value obtained for the uncorrected formation energy is -190 kJ/mol of formula units. The calculation puts the density of states at the Fermi level at 2.6 states/eV/f.u. As for the magnetic moment: 0.0 μB/f.u. As for the mass density: 8.927 g/cm3.


No. 4
YMgCd2Tc: optimized geometry, PBE.

CIF file:
```
data_YMgCd2Tc
_cell_length_a 5.655
_cell_length_b 5.655
_cell_length_c 5.768
_cell_angle_alpha 90.00
_cell_angle_beta 90.00
_cell_angle_gamma 90.00
_symmetry_space_group_name_H-M 'P 4/m m m'
_symmetry_Int_Tables_number 123
_symmetry_space_group_name_Hall '-P 4 2'
loop_
_atom_site_label
_atom_site_fract_x
_atom_site_fract_y
_atom_site_fract_z
Y1 0.000 0.000 0.000
Mg1 0.000 0.000 0.500
Cd1 0.000 0.500 0.000
Tc1 0.500 0.500 0.500
```

Summary:
The crystal system is tetragonal. The calculation puts the density of states at the Fermi level at 6.6 states/eV/f.u. As for the magnetic moment: 3.2 μB/f.u. The formation energy is 1659.6 meV per atom. As for the mass density: 3.925 g/cm3.


No. 5
Y2ZnSi: optimized geometry, PBE.

CIF file:
```
data_Y2ZnSi
_cell_length_a 3.416
_cell_length_b 3.416
_cell_length_c 7.938
_cell_angle_alpha 90.00
_cell_angle_beta 90.00
_cell_angle_gamma 90.00
_symmetry_space_group_name_H-M 'P 4 m m'
_symmetry_Int_Tables_number 99
loop_
_symmetry_equiv_pos_as_xyz
'x,y,z'
'-y,x,z'
'-x,-y,z'
'y,-x,z'
'-x,y,z'
'y,x,z'
'x,-y,z'
'-y,-x,z'
loop_
_atom_site_label
_atom_site_fract_x
_atom_site_fract_y
_atom_site_fract_z
Y1 0.000 0.000 0.000
Y2 0.500 0.500 0.357
Zn1 0.000 0.000 0.604
Si1 0.500 0.500 0.752
```

Summary:
The crystal system is tetragonal. The value obtained for the uncorrected formation energy is -58 kJ/mol of formula units. The calculation puts the density of states at the Fermi level at 4.0 states/eV/f.u. As for the magnetic moment: 0.0 μB/f.u. As for the mass density: 4.863 g/cm3.


No. 6
CuAgPd: optimized geometry, PBE.

CIF file:
```
data_CuAgPd
_cell_length_a 2.777
_cell_length_b 4.141
_cell_length_c 8.057
_cell_angle_alpha 90.00
_cell_angle_beta 99.89
_cell_angle_gamma 90.00
_symmetry_space_group_name_H-M 'P 1 21/m 1'
_symmetry_Int_Tables_number 11
loop_
_symmetry_equiv_pos_as_xyz
'x,y,z'
'-x,-y,-z'
'-x,y+1/2,-z'
'x,-y+1/2,z'
loop_
_atom_site_label
_atom_site_fract_x
_atom_site_fract_y
_atom_site_fract_z
Cu1 0.043 0.250 0.081
Ag1 0.206 0.250 0.411
Pd1 0.392 0.250 0.787
```

Summary:
The crystal system is monoclinic. The value obtained for the energy above the most stable polymorph in this dataset is 0.000 eV per atom. The calculation puts the density of states at the Fermi level at 1.1 states/eV/f.u. As for the magnetic moment: 0.0 μB/f.u. The formation energy is -30.5 meV per atom. As for the mass density: 10.110 g/cm3.


No. 7
Rb2ScF7: optimized geometry, PBE.

CIF file:
```
data_Rb2ScF7
_cell_length_a 5.927
_cell_length_b 5.927
_cell_length_c 9.894
_cell_angle_alpha 90.00
_cell_angle_beta 90.00
_cell_angle_gamma 90.00
_symmetry_space_group_name_H-M 'I 4/m m m'
_symmetry_Int_Tables_number 139
_symmetry_space_group_name_Hall '-I 4 2'
loop_
_atom_site_label
_atom_site_fract_x
_atom_site_fract_y
_atom_site_fract_z
Rb1 0.000 0.500 0.250
Sc1 0.000 0.000 0.000
F1 0.000 0.000 0.202
F2 0.000 0.000 0.500
F3 0.243 0.243 0.000
```

Summary:
The crystal system is tetragonal. The value obtained for the uncorrected formation energy is -2518 kJ/mol of formula units. The calculation puts the density of states at the Fermi level at 0.0 states/eV/f.u. As for the magnetic moment: 2.0 μB/f.u. As for the mass density: 3.334 g/cm3.


No. 8
TbGdInIr: optimized geometry, PBE.

CIF file:
```
data_TbGdInIr
_cell_length_a 7.227
_cell_length_b 7.227
_cell_length_c 7.227
_cell_angle_alpha 90.00
_cell_angle_beta 90.00
_cell_angle_gamma 90.00
_symmetry_space_group_name_H-M 'F -4 3 m'
_symmetry_Int_Tables_number 216
_symmetry_space_group_name_Hall 'F -4 2 3'
loop_
_atom_site_label
_atom_site_fract_x
_atom_site_fract_y
_atom_site_fract_z
Tb1 0.000 0.000 0.000
Gd1 0.000 0.000 0.500
In1 0.250 0.250 0.250
Ir1 0.250 0.250 0.750
```

Summary:
The crystal system is cubic. The calculation puts the density of states at the Fermi level at 3.0 states/eV/f.u. As for the magnetic moment: 7.1 μB/f.u. The formation energy is -523.3 meV per atom. As for the mass density: 10.965 g/cm3.


No. 9
Eu2AgPb: optimized geometry, PBE.

CIF file:
```
data_Eu2AgPb
_cell_length_a 7.826
_cell_length_b 7.826
_cell_length_c 7.826
_cell_angle_alpha 90.00
_cell_angle_beta 90.00
_cell_angle_gamma 90.00
_symmetry_space_group_name_H-M 'F m -3 m'
_symmetry_Int_Tables_number 225
_symmetry_space_group_name_Hall '-F 4 2 3'
loop_
_atom_site_label
_atom_site_fract_x
_atom_site_fract_y
_atom_site_fract_z
Eu1 0.250 0.250 0.250
Ag1 0.000 0.000 0.000
Pb1 0.000 0.000 0.500
```

Summary:
The crystal system is cubic. The calculation puts the density of states at the Fermi level at 6.0 states/eV/f.u. As for the magnetic moment: 13.8 μB/f.u. The formation energy is -444.8 meV per atom. As for the mass density: 8.579 g/cm3.


No. 10
LiCaZr2: optimized geometry, PBE.

CIF file:
```
data_LiCaZr2
_cell_length_a 3.395
_cell_length_b 3.395
_cell_length_c 8.356
_cell_angle_alpha 90.00
_cell_angle_beta 90.00
_cell_angle_gamma 90.00
_symmetry_space_group_name_H-M 'P 4/m m m'
_symmetry_Int_Tables_number 123
_symmetry_space_group_name_Hall '-P 4 2'
loop_
_atom_site_label
_atom_site_fract_x
_atom_site_fract_y
_atom_site_fract_z
Li1 0.000 0.000 0.000
Ca1 0.000 0.000 0.500
Zr1 0.500 0.500 0.185
```

Summary:
The crystal system is tetragonal. The value obtained for the energy above the most stable polymorph in this dataset is 0.224 eV per atom. The calculation puts the density of states at the Fermi level at 4.6 states/eV/f.u. As for the magnetic moment: 0.0 μB/f.u. The formation energy is 394.5 meV per atom. As for the mass density: 3.957 g/cm3.


No. 11
RbCdTc2: optimized geometry, PBE.

CIF file:
```
data_RbCdTc2
_cell_length_a 8.355
_cell_length_b 8.355
_cell_length_c 5.348
_cell_angle_alpha 90.00
_cell_angle_beta 90.00
_cell_angle_gamma 90.00
_symmetry_space_group_name_H-M 'I -4 2 d'
_symmetry_Int_Tables_number 122
_symmetry_space_group_name_Hall 'I -4 2bw'
loop_
_atom_site_label
_atom_site_fract_x
_atom_site_fract_y
_atom_site_fract_z
Rb1 0.000 0.000 0.000
Cd1 0.000 0.000 0.500
Tc1 0.214 0.250 0.625
```

Summary:
The crystal system is tetragonal. The calculation puts the density of states at the Fermi level at 4.6 states/eV/f.u. As for the magnetic moment: 1.9 μB/f.u. The formation energy is 1841.3 meV per atom. As for the mass density: 7.008 g/cm3.


No. 12
HgRu2Cl: optimized geometry, PBE.

CIF file:
```
data_HgRu2Cl
_cell_length_a 2.956
_cell_length_b 2.956
_cell_length_c 7.768
_cell_angle_alpha 90.00
_cell_angle_beta 90.00
_cell_angle_gamma 90.00
_symmetry_space_group_name_H-M 'P 4/m m m'
_symmetry_Int_Tables_number 123
_symmetry_space_group_name_Hall '-P 4 2'
loop_
_atom_site_label
_atom_site_fract_x
_atom_site_fract_y
_atom_site_fract_z
Hg1 0.000 0.000 0.000
Ru1 0.500 0.500 0.262
Cl1 0.000 0.000 0.500
```

Summary:
The crystal system is tetragonal. The value obtained for the energy above the most stable polymorph in this dataset is 0.690 eV per atom. The value obtained for the uncorrected formation energy is 346 kJ/mol of formula units. The calculation puts the density of states at the Fermi level at 5.7 states/eV/f.u. As for the magnetic moment: 3.6 μB/f.u. As for the mass density: 10.718 g/cm3.


No. 13
CsCeAuSe4: optimized geometry, PBE.

CIF file:
```
data_CsCeAuSe4
_cell_length_a 7.570
_cell_length_b 5.712
_cell_length_c 10.399
_cell_angle_alpha 90.00
_cell_angle_beta 107.22
_cell_angle_gamma 90.00
_symmetry_space_group_name_H-M 'P 1 21/m 1'
_symmetry_Int_Tables_number 11
loop_
_symmetry_equiv_pos_as_xyz
'x,y,z'
'-x,-y,-z'
'-x,y+1/2,-z'
'x,-y+1/2,z'
loop_
_atom_site_label
_atom_site_fract_x
_atom_site_fract_y
_atom_site_fract_z
Cs1 0.232 0.250 0.042
Ce1 0.277 0.250 0.550
Au1 0.267 0.750 0.312
Se1 0.018 0.527 0.686
Se2 0.413 0.750 0.574
Se3 0.494 0.750 0.180
```

Summary:
The crystal system is monoclinic. The value obtained for the uncorrected formation energy is -658 kJ/mol of formula units. The calculation puts the density of states at the Fermi level at 2.8 states/eV/f.u. As for the magnetic moment: 0.0 μB/f.u. As for the mass density: 6.077 g/cm3.